Computed, not measured: a geometry-optimized PaRh2Pb structure at the PBE level of DFT.

Lattice parameters (Å, degrees): 4.8885 4.8885 11.8252 90.00 90.00 120.00
Space group R-3m (No. 166, hexagonal axes)
Inequivalent atoms, fractional coordinates:
Pa1 0.0000 0.0000 0.0000
Rh1 0.0000 0.0000 0.2207
Pb1 0.0000 0.0000 0.5000

Summary:
DFT total energy = -7.439 eV/atom
DFT formation energy = -0.463 eV per atom
density = 13.11 g cm⁻³
energy above the lowest structure with this stoichiometry = 0.000 eV per atom

***

Computed, not measured: a geometry-optimized LaZn8Cu2 structure at the PBE level of DFT.

Lattice parameters (Å, degrees): 5.2279 5.2279 8.7218 90.00 90.00 90.00
Space group P4/mmm (No. 123)
Inequivalent atoms, fractional coordinates:
La1 0.0000 0.0000 0.0000
Zn1 0.2516 0.2516 0.2998
Cu1 0.0000 0.5000 0.5000

Summary:
DFT total energy = -1.932 eV/atom
DFT formation energy = 0.187 eV per atom
density = 5.50 g cm⁻³

***

Computed, not measured: a geometry-optimized Sr4HoTh3Bi8 structure at the PBE level of DFT.

Lattice parameters (Å, degrees): 9.3556 9.3556 23.4163 90.00 90.00 120.00
Space group R-3m (No. 166, hexagonal axes)
Inequivalent atoms, fractional coordinates:
Sr1 0.0000 0.0000 0.0000
Sr2 0.0000 0.5000 0.0000
Ho1 0.0000 0.0000 0.5000
Th1 0.0000 0.5000 0.5000
Bi1 0.0000 0.0000 0.2444
Bi2 0.0037 0.5018 0.2433

Summary:
DFT total energy = -4.816 eV/atom
DFT formation energy = -0.778 eV per atom
density = 8.09 g cm⁻³

***

Computed, not measured: a geometry-optimized Dy2TmIn3Te6 structure at the PBE level of DFT.

Lattice parameters (Å, degrees): 7.6184 13.1922 8.5058 90.00 107.39 90.00
Space group C2/m (No. 12)
Inequivalent atoms, fractional coordinates:
Dy1 0.0000 0.1665 0.0000
Tm1 0.0000 0.5000 0.0000
In1 0.0000 0.0000 0.5000
In2 0.0000 0.3324 0.5000
Te1 0.2376 0.3348 0.2173
Te2 0.2424 0.0000 0.2184

Summary:
DFT total energy = -4.356 eV/atom
density = 6.53 g cm⁻³
energy relative to the elements, uncorrected = -0.961 eV per atom

***

Computed, not measured: a geometry-optimized Ti2TeP structure at the PBE level of DFT.

Lattice parameters (Å, degrees): 5.8429 5.8429 11.8399 90.00 90.00 90.00
Space group I-42d (No. 122)
Inequivalent atoms, fractional coordinates:
Ti1 0.1970 0.2500 0.1250
Te1 0.0000 0.0000 0.5000
P1 0.0000 0.0000 0.0000

Summary:
DFT total energy = -6.404 eV/atom
density = 4.18 g cm⁻³
energy above the lowest structure with this stoichiometry = 0.596 eV per atom
energy relative to the elements, uncorrected = -0.318 eV per atom

***

Computed, not measured: a geometry-optimized VHg3Se structure at the PBE level of DFT.

Lattice parameters (Å, degrees): 5.3643 5.3643 5.3643 90.00 90.00 90.00
Space group Pm-3m (No. 221)
Inequivalent atoms, fractional coordinates:
V1 0.0000 0.0000 0.0000
Hg1 0.0000 0.0000 0.5000
Se1 0.5000 0.5000 0.5000

Summary:
DFT total energy = -2.016 eV/atom
density = 7.87 g cm⁻³
energy above the lowest structure with this stoichiometry = 0.000 eV per atom
energy relative to the elements, uncorrected = 0.686 eV per atom

***

Computed, not measured: a geometry-optimized NdMgGa2Pd structure at the PBE level of DFT.

Lattice parameters (Å, degrees): 4.1479 4.1479 11.7921 90.00 90.00 90.00
Space group I-4m2 (No. 119)
Inequivalent atoms, fractional coordinates:
Nd1 0.0000 0.0000 0.0000
Mg1 0.0000 0.5000 0.7500
Ga1 0.0000 0.0000 0.3932
Pd1 0.0000 0.5000 0.2500

Summary:
DFT total energy = -4.143 eV/atom
DFT formation energy = -0.621 eV per atom
density = 6.78 g cm⁻³

***

Computed, not measured: a geometry-optimized Pm2PuNiS5 structure at the PBE level of DFT.

Lattice parameters (Å, degrees): 3.8430 16.5360 11.8646 90.00 90.00 90.00
Space group Cmc2_1 (No. 36)
Inequivalent atoms, fractional coordinates:
Pm1 0.0000 0.1134 0.0000
Pm2 0.0000 0.1171 0.3470
Pu1 0.0000 0.1783 0.6800
Ni1 0.0000 0.4492 0.0731
S1 0.0000 0.0177 0.6612
S2 0.0000 0.3029 0.3452
S3 0.0000 0.3178 0.0147
S4 0.0000 0.3440 0.6719
S5 0.0000 0.4953 0.4013

Summary:
DFT total energy = -7.210 eV/atom
density = 6.63 g cm⁻³
energy relative to the elements, uncorrected = -1.627 eV per atom